## CuCSe3 (PBE-GGA)

Data for a geometry-optimized CuCSe3 structure.

Output
As for the electronic total energy: -3.5391 eV per atom. The value obtained for the polymorph energy (0 for the lowest one) is 0.000 eV per atom. For the theoretical density, the calculation gives 6.110 g/cm³. The uncorrected formation energy is 1216 meV per atom. As for the symmetry: Pm-3m.

Unit cell a=4.3954 b=4.3954 c=4.3954 alpha=90.00 beta=90.00 gamma=90.00
Fractional coordinates of all 5 atoms:
Cu1 0.0000 0.0000 0.0000
C1 0.5000 0.5000 0.5000
Se1 0.0000 0.5000 0.5000
Se2 0.5000 0.0000 0.5000
Se3 0.5000 0.5000 0.0000

## Cu2CSe (PBE-GGA)

Data for a geometry-optimized Cu2CSe structure.

Output
As for the electronic total energy: -3.9373 eV per atom. The value obtained for the polymorph energy (0 for the lowest one) is 0.535 eV per atom. For the theoretical density, the calculation gives 7.067 g/cm³. The uncorrected formation energy is 1288 meV per atom. As for the symmetry: Fm-3m.

Unit cell a=4.1691 b=4.1691 c=4.1691 alpha=60.00 beta=60.00 gamma=60.00
Fractional coordinates of all 4 atoms:
Cu1 0.2500 0.2500 0.2500
Cu2 0.7500 0.7500 0.7500
C1 0.0000 0.0000 0.0000
Se1 0.5000 0.5000 0.5000

## Cu3CSe (PBE-GGA)

Data for a geometry-optimized Cu3CSe structure.

Output
As for the electronic total energy: -3.3629 eV per atom. The value obtained for the polymorph energy (0 for the lowest one) is 1.059 eV per atom. For the theoretical density, the calculation gives 5.019 g/cm³. The uncorrected formation energy is 1637 meV per atom. As for the symmetry: Pm-3m.

Unit cell a=4.5334 b=4.5334 c=4.5334 alpha=90.00 beta=90.00 gamma=90.00
Fractional coordinates of all 5 atoms:
Cu1 0.0000 0.0000 0.5000
Cu2 0.0000 0.5000 0.0000
Cu3 0.5000 0.0000 0.0000
C1 0.5000 0.5000 0.5000
Se1 0.0000 0.0000 0.0000

## YCu2CSe (PBE-GGA)

Data for a geometry-optimized YCu2CSe structure.

Output
As for the electronic total energy: -4.5734 eV per atom. For the theoretical density, the calculation gives 4.891 g/cm³. The uncorrected formation energy is 900 meV per atom. As for the symmetry: P4/mmm.

Unit cell a=4.2946 b=4.2946 c=5.6507 alpha=90.00 beta=90.00 gamma=90.00
Fractional coordinates of all 5 atoms:
Y1 0.0000 0.0000 0.0000
Cu1 0.0000 0.5000 0.5000
Cu2 0.5000 0.0000 0.5000
C1 0.5000 0.5000 0.0000
Se1 0.0000 0.0000 0.5000

## Cu3SiC (PBE-GGA)

Data for a geometry-optimized Cu3SiC structure.

Output
As for the electronic total energy: -4.8027 eV per atom. The value obtained for the polymorph energy (0 for the lowest one) is 0.000 eV per atom. For the theoretical density, the calculation gives 6.311 g/cm³. The uncorrected formation energy is 584 meV per atom. As for the symmetry: Pm-3m.

Unit cell a=3.9303 b=3.9303 c=3.9303 alpha=90.00 beta=90.00 gamma=90.00
Fractional coordinates of all 5 atoms:
Cu1 0.0000 0.0000 0.5000
Cu2 0.0000 0.5000 0.0000
Cu3 0.5000 0.0000 0.0000
Si1 0.5000 0.5000 0.5000
C1 0.0000 0.0000 0.0000

## CuSi3C (PBE-GGA)

Data for a geometry-optimized CuSi3C structure.

Output
As for the electronic total energy: -4.0744 eV per atom. The value obtained for the polymorph energy (0 for the lowest one) is 0.958 eV per atom. For the theoretical density, the calculation gives 3.143 g/cm³. The uncorrected formation energy is 1843 meV per atom. As for the symmetry: Pm-3m.

Unit cell a=4.3870 b=4.3870 c=4.3870 alpha=90.00 beta=90.00 gamma=90.00
Fractional coordinates of all 5 atoms:
Cu1 0.0000 0.0000 0.0000
Si1 0.0000 0.0000 0.5000
Si2 0.0000 0.5000 0.0000
Si3 0.5000 0.0000 0.0000
C1 0.5000 0.5000 0.5000

## CuSi3C (PBE-GGA)

Data for a geometry-optimized CuSi3C structure.

Output
As for the electronic total energy: -5.0326 eV per atom. The value obtained for the polymorph energy (0 for the lowest one) is 0.000 eV per atom. For the theoretical density, the calculation gives 4.102 g/cm³. The uncorrected formation energy is 885 meV per atom. As for the symmetry: Pm-3m.

Unit cell a=4.0143 b=4.0143 c=4.0143 alpha=90.00 beta=90.00 gamma=90.00
Fractional coordinates of all 5 atoms:
Cu1 0.0000 0.0000 0.0000
Si1 0.0000 0.5000 0.5000
Si2 0.5000 0.0000 0.5000
Si3 0.5000 0.5000 0.0000
C1 0.5000 0.5000 0.5000

## Cu3SiC (PBE-GGA)

Data for a geometry-optimized Cu3SiC structure.

Output
As for the electronic total energy: -3.6549 eV per atom. The value obtained for the polymorph energy (0 for the lowest one) is 1.148 eV per atom. For the theoretical density, the calculation gives 4.650 g/cm³. The uncorrected formation energy is 1732 meV per atom. As for the symmetry: Pm-3m.

Unit cell a=4.3516 b=4.3516 c=4.3516 alpha=90.00 beta=90.00 gamma=90.00
Fractional coordinates of all 5 atoms:
Cu1 0.0000 0.0000 0.5000
Cu2 0.0000 0.5000 0.0000
Cu3 0.5000 0.0000 0.0000
Si1 0.0000 0.0000 0.0000
C1 0.5000 0.5000 0.5000

## CuSiSnC2 (PBE-GGA)

Data for a geometry-optimized CuSiSnC2 structure.

Output
As for the electronic total energy: -4.4843 eV per atom. For the theoretical density, the calculation gives 5.142 g/cm³. The uncorrected formation energy is 1910 meV per atom. As for the symmetry: P4/mmm.

Unit cell a=3.8497 b=3.8497 c=5.1064 alpha=90.00 beta=90.00 gamma=90.00
Fractional coordinates of all 5 atoms:
Cu1 0.0000 0.0000 0.0000
Si1 0.0000 0.0000 0.5000
Sn1 0.5000 0.5000 0.5000
C1 0.0000 0.5000 0.0000
C2 0.5000 0.0000 0.0000

## Sm12Cu3C5 (PBE-GGA)

Data for a geometry-optimized Sm12Cu3C5 structure.

Output
The formation energy comes out at 0.0512 eV/atom. As for the electronic total energy: -5.7007 eV per atom. For the theoretical density, the calculation gives 6.849 g/cm³. As for the symmetry: Ia-3d.

Unit cell a=13.7314 b=13.7314 c=13.7314 alpha=109.47 beta=109.47 gamma=109.47
Fractional coordinates of all 80 atoms:
Sm1 0.0249 0.2054 0.1178
Sm2 0.0249 0.3195 0.9071
Sm3 0.0876 0.7054 0.6805
Sm4 0.0876 0.8822 0.4071
Sm5 0.0929 0.6178 0.4124
Sm6 0.0929 0.9751 0.6805
Sm7 0.1178 0.0249 0.2054
Sm8 0.1178 0.5929 0.9124
Sm9 0.1805 0.2054 0.5876
Sm10 0.1805 0.4751 0.5929
Sm11 0.2054 0.1178 0.0249
Sm12 0.2054 0.5876 0.1805
Sm13 0.2946 0.3195 0.9124
Sm14 0.2946 0.4751 0.3822
Sm15 0.3195 0.9071 0.0249
Sm16 0.3195 0.9124 0.2946
Sm17 0.3822 0.2946 0.4751
Sm18 0.3822 0.5876 0.9071
Sm19 0.4071 0.0876 0.8822
Sm20 0.4071 0.8195 0.5249
Sm21 0.4124 0.0929 0.6178
Sm22 0.4124 0.8195 0.7946
Sm23 0.4751 0.3822 0.2946
Sm24 0.4751 0.5929 0.1805
Sm25 0.5249 0.4071 0.8195
Sm26 0.5249 0.6178 0.7054
Sm27 0.5876 0.1805 0.2054
Sm28 0.5876 0.9071 0.3822
Sm29 0.5929 0.1805 0.4751
Sm30 0.5929 0.9124 0.1178
Sm31 0.6178 0.4124 0.0929
Sm32 0.6178 0.7054 0.5249
Sm33 0.6805 0.0876 0.7054
Sm34 0.6805 0.0929 0.9751
Sm35 0.7054 0.5249 0.6178
Sm36 0.7054 0.6805 0.0876
Sm37 0.7946 0.4124 0.8195
Sm38 0.7946 0.8822 0.9751
Sm39 0.8195 0.5249 0.4071
Sm40 0.8195 0.7946 0.4124
Sm41 0.8822 0.4071 0.0876
Sm42 0.8822 0.9751 0.7946
Sm43 0.9071 0.0249 0.3195
Sm44 0.9071 0.3822 0.5876
Sm45 0.9124 0.1178 0.5929
Sm46 0.9124 0.2946 0.3195
Sm47 0.9751 0.6805 0.0929
Sm48 0.9751 0.7946 0.8822
Cu1 0.1250 0.2500 0.3750
Cu2 0.1250 0.3750 0.7500
Cu3 0.2500 0.3750 0.1250
Cu4 0.2500 0.8750 0.6250
Cu5 0.3750 0.1250 0.2500
Cu6 0.3750 0.7500 0.1250
Cu7 0.6250 0.2500 0.8750
Cu8 0.6250 0.8750 0.7500
Cu9 0.7500 0.1250 0.3750
Cu10 0.7500 0.6250 0.8750
Cu11 0.8750 0.6250 0.2500
Cu12 0.8750 0.7500 0.6250
C1 0.0000 0.0000 0.0000
C2 0.0000 0.0000 0.5000
C3 0.0000 0.5000 0.0000
C4 0.0000 0.5000 0.5000
C5 0.1250 0.7500 0.8750
C6 0.1250 0.8750 0.2500
C7 0.2500 0.1250 0.8750
C8 0.2500 0.6250 0.3750
C9 0.3750 0.2500 0.6250
C10 0.3750 0.6250 0.7500
C11 0.5000 0.0000 0.0000
C12 0.5000 0.0000 0.5000
C13 0.5000 0.5000 0.0000
C14 0.5000 0.5000 0.5000
C15 0.6250 0.3750 0.2500
C16 0.6250 0.7500 0.3750
C17 0.7500 0.3750 0.6250
C18 0.7500 0.8750 0.1250
C19 0.8750 0.1250 0.7500
C20 0.8750 0.2500 0.1250

## CuSnC (PBE-GGA)

Data for a geometry-optimized CuSnC structure.

Output
The formation energy comes out at 0.8397 eV/atom. As for the electronic total energy: -4.9345 eV per atom. The value obtained for the polymorph energy (0 for the lowest one) is 0.000 eV per atom. For the theoretical density, the calculation gives 6.290 g/cm³. As for the symmetry: Pm.

Unit cell a=3.7894 b=3.8093 c=3.9327 alpha=90.00 beta=115.39 gamma=90.00
Fractional coordinates of all 3 atoms:
Cu1 0.0000 0.0000 0.0000
Sn1 0.2876 0.5000 0.5607
C1 0.9384 0.5000 0.8983

## CuSnC (PBE-GGA)

Data for a geometry-optimized CuSnC structure.

Output
The formation energy comes out at 1.0022 eV/atom. As for the electronic total energy: -4.7721 eV per atom. The value obtained for the polymorph energy (0 for the lowest one) is 0.162 eV per atom. For the theoretical density, the calculation gives 6.769 g/cm³. As for the symmetry: Cm.

Unit cell a=3.4649 b=3.4649 c=5.0022 alpha=110.06 beta=110.06 gamma=59.77
Fractional coordinates of all 3 atoms:
Cu1 0.0000 0.0000 0.0000
Sn1 0.1849 0.1849 0.5619
C1 0.6048 0.6048 0.8227

## CuSn2C (PBE-GGA)

Data for a geometry-optimized CuSn2C structure.

Output
The formation energy comes out at 1.2375 eV/atom. As for the electronic total energy: -4.0940 eV per atom. The value obtained for the polymorph energy (0 for the lowest one) is 0.521 eV per atom. For the theoretical density, the calculation gives 7.338 g/cm³. As for the symmetry: Fm-3m.

Unit cell a=4.6442 b=4.6442 c=4.6442 alpha=60.00 beta=60.00 gamma=60.00
Fractional coordinates of all 4 atoms:
Cu1 0.0000 0.0000 0.0000
Sn1 0.2500 0.2500 0.2500
Sn2 0.7500 0.7500 0.7500
C1 0.5000 0.5000 0.5000

## CuSnC (PBE-GGA)

Data for a geometry-optimized CuSnC structure.

Output
The formation energy comes out at 0.9981 eV/atom. As for the electronic total energy: -4.7762 eV per atom. The value obtained for the polymorph energy (0 for the lowest one) is 0.158 eV per atom. For the theoretical density, the calculation gives 6.372 g/cm³. As for the symmetry: Cm.

Unit cell a=3.5717 b=3.5717 c=4.9796 alpha=110.09 beta=110.09 gamma=60.27
Fractional coordinates of all 3 atoms:
Cu1 0.0000 0.0000 0.0000
Sn1 0.4769 0.4769 0.4245
C1 0.8618 0.8618 0.5821

## CuSn2C (PBE-GGA)

Data for a geometry-optimized CuSn2C structure.

Output
The formation energy comes out at 0.7160 eV/atom. As for the electronic total energy: -4.6154 eV per atom. The value obtained for the polymorph energy (0 for the lowest one) is 0.000 eV per atom. For the theoretical density, the calculation gives 6.328 g/cm³. As for the symmetry: I-42d.

Unit cell a=6.3645 b=6.3645 c=6.3645 alpha=125.64 beta=125.64 gamma=80.49
Fractional coordinates of all 8 atoms:
Cu1 0.0000 0.0000 0.0000
Cu2 0.7500 0.2500 0.5000
Sn1 0.1752 0.6250 0.0502
Sn2 0.3750 0.4252 0.5502
Sn3 0.5748 0.1250 0.9498
Sn4 0.8750 0.8248 0.4498
C1 0.2500 0.7500 0.5000
C2 0.5000 0.5000 0.0000

## CuSnC3 (PBE-GGA)

Data for a geometry-optimized CuSnC3 structure.

Output
The formation energy comes out at 3.1425 eV/atom. As for the electronic total energy: -4.0117 eV per atom. The value obtained for the polymorph energy (0 for the lowest one) is 0.616 eV per atom. For the theoretical density, the calculation gives 4.605 g/cm³. As for the symmetry: Pm-3m.

Unit cell a=4.2858 b=4.2858 c=4.2858 alpha=90.00 beta=90.00 gamma=90.00
Fractional coordinates of all 5 atoms:
Cu1 0.0000 0.0000 0.0000
Sn1 0.5000 0.5000 0.5000
C1 0.0000 0.5000 0.5000
C2 0.5000 0.0000 0.5000
C3 0.5000 0.5000 0.0000

## CuSn3C (PBE-GGA)

Data for a geometry-optimized CuSn3C structure.

Output
The formation energy comes out at 0.9676 eV/atom. As for the electronic total energy: -4.0981 eV per atom. For the theoretical density, the calculation gives 6.873 g/cm³. As for the symmetry: Pm-3m.

Unit cell a=4.7072 b=4.7072 c=4.7072 alpha=90.00 beta=90.00 gamma=90.00
Fractional coordinates of all 5 atoms:
Cu1 0.0000 0.0000 0.0000
Sn1 0.0000 0.5000 0.5000
Sn2 0.5000 0.0000 0.5000
Sn3 0.5000 0.5000 0.0000
C1 0.5000 0.5000 0.5000

## CuSnC (PBE-GGA)

Data for a geometry-optimized CuSnC structure.

Output
The formation energy comes out at 1.0623 eV/atom. As for the electronic total energy: -4.7120 eV per atom. The value obtained for the polymorph energy (0 for the lowest one) is 0.223 eV per atom. For the theoretical density, the calculation gives 6.809 g/cm³. As for the symmetry: Cm.

Unit cell a=2.8703 b=2.8703 c=6.0616 alpha=103.06 beta=103.06 gamma=88.34
Fractional coordinates of all 3 atoms:
Cu1 0.0000 0.0000 0.0000
Sn1 0.2801 0.2801 0.5234
C1 0.4620 0.4620 0.9178

## CuSnC3 (PBE-GGA)

Data for a geometry-optimized CuSnC3 structure.

Output
The formation energy comes out at 2.5262 eV/atom. As for the electronic total energy: -4.6280 eV per atom. The value obtained for the polymorph energy (0 for the lowest one) is 0.000 eV per atom. For the theoretical density, the calculation gives 5.859 g/cm³. As for the symmetry: Pm-3m.

Unit cell a=3.9550 b=3.9550 c=3.9550 alpha=90.00 beta=90.00 gamma=90.00
Fractional coordinates of all 5 atoms:
Cu1 0.0000 0.0000 0.0000
Sn1 0.5000 0.5000 0.5000
C1 0.0000 0.0000 0.5000
C2 0.0000 0.5000 0.0000
C3 0.5000 0.0000 0.0000

## Cu2SnC (PBE-GGA)

Data for a geometry-optimized Cu2SnC structure.

Output
The formation energy comes out at 0.7414 eV/atom. As for the electronic total energy: -4.6134 eV per atom. The value obtained for the polymorph energy (0 for the lowest one) is 0.000 eV per atom. For the theoretical density, the calculation gives 6.634 g/cm³. As for the symmetry: I-42d.

Unit cell a=6.8206 b=6.8206 c=6.8206 alpha=140.17 beta=140.17 gamma=57.60
Fractional coordinates of all 8 atoms:
Cu1 0.3750 0.2069 0.3319
Cu2 0.7931 0.1250 0.1681
Cu3 0.8750 0.0431 0.6681
Cu4 0.9569 0.6250 0.8319
Sn1 0.2500 0.7500 0.5000
Sn2 0.5000 0.5000 0.0000
C1 0.0000 0.0000 0.0000
C2 0.7500 0.2500 0.5000